# HPdO2

A geometry-optimized HPdO2 structure (GGA-PBE, Alexandria).

**Total magnetization**: 0.00 μB/f.u.
**Calculated total energy**: -5.08 eV per atom
**Density of states at the Fermi level**: 1.27 states/eV/f.u.

abc: 4.5480 9.2306 4.0327
angles: 90.00 90.00 90.00
With the nearest neighbours (Å) after each atom.
Space group Pna2_1 (No. 33)
Inequivalent atoms, fractional coordinates:
H: 0.0404 0.1230 0.0000 x4  1 O 0.99
Pd: 0.0245 0.3740 0.2669 x4  5 O 2.03-2.26
O: 0.0191 0.1454 0.2391 x4  1 H 0.99
O: 0.0428 0.5936 0.2720 x4  3 Pd 2.03-2.08, 1 H 2.12

# HPdO2

A geometry-optimized HPdO2 structure (GGA-PBE, Alexandria).

**Total magnetization**: 0.63 μB/f.u.
**Calculated total energy**: -5.06 eV per atom
**Density of states at the Fermi level**: 2.70 states/eV/f.u.

abc: 3.2951 3.2951 4.4847
angles: 90.00 90.00 120.00
With the nearest neighbours (Å) after each atom.
Space group P3m1 (No. 156)
Inequivalent atoms, fractional coordinates:
H: 0.0000 0.0000 0.0000 x1  1 O 0.99
Pd: 0.6667 0.3333 0.4414 x1  6 O 2.11-2.15
O: 0.0000 0.0000 0.2202 x1  1 H 0.99
O: 0.3333 0.6667 0.6463 x1  3 Pd 2.11